NaCo3Hg after structural relaxation. Source: Alexandria via LeMat-Bulk, functional PBE.

Values from the calculation:
The formation energy comes out at 1.44 eV per atom. The value obtained for the energy above the lowest structure with this stoichiometry is 0 meV/atom. For the density of states at the Fermi level, the calculation gives 13.91 states/eV per cell.

a b c (Å): 4.8932 4.8932 4.8932
angles (deg): 90.00 90.00 90.00
Site moments in Bohr magnetons follow the coordinates.
Positions (direct):
1 Na 0.5000 0.5000 0.5000  -0.01
2 Co 0.0000 0.5000 0.0000  1.97
3 Co 0.0000 0.0000 0.5000  2.40
4 Co 0.5000 0.0000 0.0000  1.44
5 Hg 0.0000 0.0000 0.0000  -0.02

CdRe2Te after structural relaxation. Source: Alexandria via LeMat-Bulk, functional PBE.

Values from the calculation:
The value obtained for the energy above the lowest structure with this stoichiometry is 648 meV/atom. The calculation puts the uncorrected formation energy at 1027.2 meV/atom. For the density of states at the Fermi level, the calculation gives 5.08 states/eV per cell.

a b c (Å): 4.1915 4.1915 10.1090
angles (deg): 78.03 78.03 90.00
Positions (direct):
1 Re 0.7147 0.1250 0.2500
2 Re 0.0353 0.6250 0.2500
3 Re 0.3750 0.2853 0.7500
4 Re 0.8750 0.9647 0.7500
5 Te 0.0000 0.0000 0.0000
6 Te 0.7500 0.2500 0.5000
7 Cd 0.5000 0.5000 0.0000
8 Cd 0.2500 0.7500 0.5000

Rb3CuI6 after structural relaxation. Source: Alexandria via LeMat-Bulk, functional PBE.

Values from the calculation:
The calculation puts the uncorrected formation energy at -763.6 meV/atom. For the density of states at the Fermi level, the calculation gives 4.86 states/eV per cell.

a b c (Å): 8.7579 8.7579 8.7698
angles (deg): 60.04 60.04 90.00
Site moments in Bohr magnetons follow the coordinates.
Positions (direct):
1 I 0.2772 0.2772 0.4456  0.16
2 I 0.7228 0.7228 0.5544  0.16
3 I 0.2779 0.2779 0.0000  0.16
4 I 0.7221 0.7221 0.0000  0.16
5 I 0.7221 0.2779 0.0000  0.17
6 I 0.2779 0.7221 0.0000  0.17
7 Cu 0.5000 0.5000 0.0000  0.48
8 Rb 0.7500 0.2500 0.5000  0.00
9 Rb 0.2500 0.7500 0.5000  0.00
10 Rb 0.0000 0.0000 0.0000  0.02

NaSrPd after structural relaxation. Source: Alexandria via LeMat-Bulk, functional PBE.

Values from the calculation:
The formation energy comes out at -0.38 eV per atom. The value obtained for the energy above the lowest structure with this stoichiometry is 0 meV/atom. For the density of states at the Fermi level, the calculation gives 1.98 states/eV per cell.

a b c (Å): 4.1897 4.4964 10.1814
angles (deg): 90.00 78.11 90.00
Positions (direct):
1 Na 0.7865 0.4154 0.7025
2 Na 0.3885 0.9153 0.4968
3 Sr 0.0076 0.4150 0.2598
4 Sr 0.1673 0.9150 0.9394
5 Pd 0.6298 0.4149 0.0146
6 Pd 0.5451 0.9149 0.1847

AgTe2Se2 after structural relaxation. Source: Alexandria via LeMat-Bulk, functional PBE.

Values from the calculation:
The value obtained for the energy above the lowest structure with this stoichiometry is 118 meV/atom. The calculation puts the uncorrected formation energy at 185.4 meV/atom. For the density of states at the Fermi level, the calculation gives 4.26 states/eV per cell.

a b c (Å): 8.0266 8.0266 4.6279
angles (deg): 90.00 90.00 90.00
Positions (direct):
1 Te 0.2912 0.7912 0.0000
2 Te 0.7912 0.7088 0.0000
3 Te 0.7088 0.2088 0.0000
4 Te 0.2088 0.2912 0.0000
5 Se 0.1712 0.6712 0.5000
6 Se 0.6712 0.8288 0.5000
7 Se 0.8288 0.3288 0.5000
8 Se 0.3288 0.1712 0.5000
9 Ag 0.0000 0.0000 0.0000
10 Ag 0.5000 0.5000 0.0000

PmNi2H8 after structural relaxation. Source: Alexandria via LeMat-Bulk, functional PBE.

Values from the calculation:
The value obtained for the energy above the lowest structure with this stoichiometry is 0 meV/atom. For the density of states at the Fermi level, the calculation gives 2.53 states/eV per cell.

a b c (Å): 4.1037 4.5134 4.5134
angles (deg): 115.22 90.05 90.05
Positions (direct):
1 Pm 0.5000 0.0000 0.0000
2 Ni 0.0000 0.3265 0.6735
3 Ni 0.0000 0.6735 0.3265
4 H 0.9989 0.9757 0.6976
5 H 0.9989 0.6976 0.9757
6 H 0.2386 0.5013 0.5013
7 H 0.5000 0.6847 0.3153
8 H 0.5000 0.3153 0.6847
9 H 0.7614 0.4987 0.4987
10 H 0.0011 0.3024 0.0243
11 H 0.0011 0.0243 0.3024

MoRuPt2 after structural relaxation. Source: Alexandria via LeMat-Bulk, functional PBE.

Values from the calculation:
The formation energy comes out at 0.22 eV per atom. The value obtained for the energy above the lowest structure with this stoichiometry is 411 meV/atom. For the density of states at the Fermi level, the calculation gives 5.46 states/eV per cell.

a b c (Å): 4.4459 4.4459 4.4459
angles (deg): 60.00 60.00 60.00
Positions (direct):
1 Ru 0.5000 0.5000 0.5000
2 Mo 0.0000 0.0000 0.0000
3 Pt 0.2500 0.2500 0.2500
4 Pt 0.7500 0.7500 0.7500

Pm12Y5In2 after structural relaxation. Source: Alexandria via LeMat-Bulk, functional PBE.

Values from the calculation:
The formation energy comes out at -0.02 eV per atom. For the density of states at the Fermi level, the calculation gives 29.10 states/eV per cell.

a b c (Å): 9.2938 9.0680 8.6556
angles (deg): 92.94 90.00 120.83
Positions (direct):
1 Pm 0.9180 0.8361 0.1130
2 Pm 0.0384 0.7053 0.7638
3 Pm 0.6669 0.7053 0.7638
4 Pm 0.1793 0.7503 0.3338
5 Pm 0.5710 0.7503 0.3338
6 Pm 0.4447 0.8894 0.6735
7 Pm 0.5553 0.1106 0.3265
8 Pm 0.8207 0.2497 0.6662
9 Pm 0.4290 0.2497 0.6662
10 Pm 0.9616 0.2947 0.2362
11 Pm 0.3331 0.2947 0.2362
12 Pm 0.0820 0.1639 0.8870
13 Y 0.2330 0.4660 0.5804
14 Y 0.3108 0.6216 0.9877
15 Y 0.0000 0.0000 0.5000
16 Y 0.6892 0.3784 0.0123
17 Y 0.7670 0.5340 0.4196
18 In 0.6739 0.0000 0.0000
19 In 0.3261 0.0000 0.0000

Tb6ZnS5 after structural relaxation. Source: Alexandria via LeMat-Bulk, functional PBE.

Values from the calculation:
The calculation puts the uncorrected formation energy at -1724.4 meV/atom. For the density of states at the Fermi level, the calculation gives 4.31 states/eV per cell.

a b c (Å): 6.8722 6.8722 6.8545
angles (deg): 99.61 99.61 119.91
Positions (direct):
1 Zn 0.0000 0.0000 0.0000
2 Tb 0.4204 0.0834 0.2511
3 Tb 0.9166 0.5796 0.7489
4 Tb 0.2525 0.2525 0.7489
5 Tb 0.7475 0.7475 0.2511
6 Tb 0.0834 0.4204 0.2511
7 Tb 0.5796 0.9166 0.7489
8 S 0.8328 0.1672 0.5000
9 S 0.6660 0.3340 0.0000
10 S 0.5000 0.5000 0.5000
11 S 0.3340 0.6660 0.0000
12 S 0.1672 0.8328 0.5000

MgIr3Pd after structural relaxation. Source: Alexandria via LeMat-Bulk, functional PBE.

Values from the calculation:
The formation energy comes out at 1.71 eV per atom. The value obtained for the energy above the lowest structure with this stoichiometry is 0 meV/atom. For the density of states at the Fermi level, the calculation gives 6.12 states/eV per cell.

a b c (Å): 4.4708 4.4708 4.4708
angles (deg): 90.00 90.00 90.00
Site moments in Bohr magnetons follow the coordinates.
Positions (direct):
1 Mg 0.0000 0.0000 0.0000  -0.01
2 Ir 0.0000 0.5000 0.0000  0.53
3 Ir 0.0000 0.0000 0.5000  0.43
4 Ir 0.5000 0.0000 0.0000  0.66
5 Pd 0.5000 0.5000 0.5000  0.42

LaS2N2 after structural relaxation. Source: Alexandria via LeMat-Bulk, functional PBE.

Values from the calculation:
The value obtained for the energy above the lowest structure with this stoichiometry is 124 meV/atom. The calculation puts the uncorrected formation energy at 427.4 meV/atom. For the density of states at the Fermi level, the calculation gives 2.07 states/eV per cell.

a b c (Å): 4.0225 4.0225 4.5681
angles (deg): 90.00 90.00 90.00
Site moments in Bohr magnetons follow the coordinates.
Positions (direct):
1 S 0.0000 0.5000 0.0000  0.03
2 S 0.5000 0.0000 0.0000  0.03
3 N 0.0000 0.0000 0.0000  -0.18
4 N 0.0000 0.0000 0.5000  0.50
5 La 0.5000 0.5000 0.5000  0.00

Y6C3Se2 after structural relaxation. Source: Alexandria via LeMat-Bulk, functional PBE.

Values from the calculation:
The calculation puts the uncorrected formation energy at -940.3 meV/atom. For the density of states at the Fermi level, the calculation gives 3.31 states/eV per cell.

a b c (Å): 6.4342 6.4339 6.9749
angles (deg): 81.10 71.98 60.00
Site moments in Bohr magnetons follow the coordinates.
Positions (direct):
1 Y 0.4003 0.6626 0.7995  0.05
2 Y 0.7364 0.0000 0.8038  0.04
3 Y 0.0628 0.3374 0.7995  0.05
4 Y 0.2636 0.0000 0.1962  0.04
5 Y 0.5997 0.3374 0.2005  0.05
6 Y 0.9372 0.6626 0.2005  0.05
7 C 0.0000 0.0000 0.0000  0.00
8 C 0.3311 0.3378 0.0000  0.00
9 C 0.6689 0.6622 0.0000  0.00
10 Se 0.1658 0.6684 0.5000  0.01
11 Se 0.8342 0.3316 0.5000  0.01